# 1
KZrBr2 | meta-GGA SCAN | single point on PBEsol structure Values from VASP.

**Calculated total energy**: -80.40 eV/cell
**Space-group type**: Fm-3m, No. 225

Structure (Quantum ESPRESSO input):
```
&SYSTEM
  ibrav = 0, nat = 4, ntyp = 3
/
ATOMIC_SPECIES
Br 79.90 Br.upf
K 39.10 K.upf
Zr 91.22 Zr.upf
CELL_PARAMETERS angstrom
5.1780 0.0000 0.0000
2.5890 4.4843 0.0000
2.5890 1.4948 4.2279
ATOMIC_POSITIONS angstrom
Br 2.5890 1.4948 1.0570
Br 7.7671 4.4843 3.1709
K 5.1780 2.9895 2.1139
Zr 0.0000 0.0000 0.0000
```

---

# 2
KZr2Br | meta-GGA SCAN | single point on PBEsol structure Values from VASP.

**Calculated total energy**: -88.33 eV/cell
**Space-group type**: R-3m, No. 166

Structure (Quantum ESPRESSO input):
```
&SYSTEM
  ibrav = 0, nat = 4, ntyp = 3
/
ATOMIC_SPECIES
Br 79.90 Br.upf
K 39.10 K.upf
Zr 91.22 Zr.upf
CELL_PARAMETERS angstrom
3.2223 0.0000 0.0000
1.6112 2.7906 0.0000
1.6112 0.9302 11.2811
ATOMIC_POSITIONS angstrom
Br 3.2223 1.8604 5.6405
K 0.0000 0.0000 0.0000
Zr 1.6112 0.9302 3.4061
Zr 4.8335 2.7906 7.8749
```

---

# 3
LaBr3 | meta-GGA SCAN | single point on PBEsol structure Values from VASP.

**Calculated total energy**: -110.10 eV/cell
**Space-group type**: Imm2, No. 44

Structure (Quantum ESPRESSO input):
```
&SYSTEM
  ibrav = 0, nat = 4, ntyp = 2
/
ATOMIC_SPECIES
Br 79.90 Br.upf
La 138.91 La.upf
CELL_PARAMETERS angstrom
4.0592 0.0000 0.0000
2.0296 5.8809 -0.1179
2.0296 2.3463 5.3938
ATOMIC_POSITIONS angstrom
Br 4.0592 2.7140 1.4390
Br 4.0592 5.7871 3.4097
Br 4.0592 2.4756 5.1922
La 2.0296 4.8885 1.4295
```

---

# 4
La2Br | meta-GGA SCAN | single point on PBEsol structure Values from VASP.

**Calculated total energy**: -217.03 eV/cell
**Space-group type**: Cmcm, No. 63

Structure (Quantum ESPRESSO input):
```
&SYSTEM
  ibrav = 0, nat = 6, ntyp = 2
/
ATOMIC_SPECIES
Br 79.90 Br.upf
La 138.91 La.upf
CELL_PARAMETERS angstrom
-2.9253 -1.4614 2.1544
-0.4093 -4.6347 -3.6995
6.8353 -3.3547 3.4466
ATOMIC_POSITIONS angstrom
Br 1.6008 -6.7696 1.1404
Br 1.9000 -2.6812 0.7611
La 1.4777 -4.8331 -1.2720
La 4.6118 -7.2162 1.3669
La -1.1110 -2.2346 0.5346
La 2.0231 -4.6178 3.1735
```

---

# 5
LaBr3 | meta-GGA SCAN | single point on PBEsol structure Values from VASP.

**Calculated total energy**: -441.19 eV/cell
**Space-group type**: Pnma, No. 62

Structure (Quantum ESPRESSO input):
```
&SYSTEM
  ibrav = 0, nat = 16, ntyp = 2
/
ATOMIC_SPECIES
Br 79.90 Br.upf
La 138.91 La.upf
CELL_PARAMETERS angstrom
-0.8783 3.2637 -5.5440
-5.9213 -4.6646 -1.8079
-5.8953 5.7986 4.3475
ATOMIC_POSITIONS angstrom
Br -4.7192 4.6388 2.4704
Br -4.8088 1.3246 -3.2687
Br -7.8861 3.0731 0.2643
Br -7.9758 -0.2412 -5.4748
Br -7.1287 6.7565 0.1536
Br -2.4324 -0.6704 -1.1603
Br -8.0454 2.8873 -3.4791
Br -7.7834 -0.1781 -1.5230
Br -5.5663 -2.3589 -3.1580
Br -10.2626 5.0681 -1.8441
Br -4.6495 1.5104 0.4747
Br -4.9115 4.5758 -1.4815
La -10.0795 2.0519 -1.3480
La -5.2179 -1.3175 -0.2995
La -7.4770 5.7151 -2.7049
La -2.6154 2.3458 -1.6564
```

---

# 6
La2Br | meta-GGA SCAN | single point on PBEsol structure Values from VASP.

**Calculated total energy**: -217.29 eV/cell
**Space-group type**: I4/mcm, No. 140

Structure (Quantum ESPRESSO input):
```
&SYSTEM
  ibrav = 0, nat = 6, ntyp = 2
/
ATOMIC_SPECIES
Br 79.90 Br.upf
La 138.91 La.upf
CELL_PARAMETERS angstrom
6.1096 0.0248 0.0000
-2.6901 5.4855 0.0000
-1.7097 -2.7552 5.1782
ATOMIC_POSITIONS angstrom
Br 0.8549 1.3776 0.0000
Br 2.5646 4.1328 0.0000
La -0.4902 4.1203 0.9965
La 2.1999 -1.3652 4.1816
La 2.5565 2.2297 2.5891
La -0.8467 0.5255 2.5891
```

---

Among the records above, which one has the highest calculated total energy?
KZrBr2

---

Which of these has the lowest calculated total energy?
number 5

---

Which of these has the lowest calculated total energy?
number 5

---

Look up the calculated total energy of the fifth one.
-441.19 eV/cell